1.
Here is an optimized crystal structure of CoSi2F from Alexandria. Energies are from PBE+U.

Properties
Offset from the most stable computed form   0 meV/atom
Symmetry   No. 225

abc: 4.0352 4.0352 4.0352
angles: 60.00 60.00 60.00
Atoms (fractional coordinates):
Co 0.0000 0.0000 0.0000
Si 0.2500 0.2500 0.2500
Si 0.7500 0.7500 0.7500
F 0.5000 0.5000 0.5000



2.
Here is an optimized crystal structure of Na3MnV2O6 from Alexandria. Energies are from PBE+U.

Properties
Energy   -6.4359 eV/atom
Symmetry   No. 12

abc: 5.3126 5.3126 5.6601
angles: 98.69 98.69 120.97
Atoms (fractional coordinates):
Na 0.0000 0.0000 0.0000
Na 0.3347 0.6653 0.0000
Na 0.6653 0.3347 0.0000
Mn 0.5000 0.5000 0.5000
V 0.1685 0.8315 0.5000
V 0.8315 0.1685 0.5000
O 0.1012 0.4301 0.2994
O 0.2402 0.2402 0.6964
O 0.4301 0.1012 0.2994
O 0.5699 0.8988 0.7006
O 0.7598 0.7598 0.3036
O 0.8988 0.5699 0.7006



no.,magnetization (Bohr magnetons per cell),density (g/cm3)
1,0.7,4.8
2,6.0,4.1